DFT (SCAN) results for a crystal of RuO4 relaxed with PBEsol.

The value obtained for the formation energy from raw total energies is -679 meV per atom.

The space group is P-43n (No. 218) and the conventional cell measures 8.5966, 8.5966 and 8.5966 Å, with angles of 90.00, 90.00 and 90.00 degrees. The distinct sites, in fractional coordinates, are Ru at (0.0000, 0.0000, 0.0000), Ru at (0.0000, 0.2500, 0.5000), O at (0.1135, 0.1135, 0.8865) and O at (0.1126, 0.1367, 0.3854).

DFT (SCAN) results for a crystal of Li2Ni2B relaxed with PBEsol.

The energy relative to the elements comes out at -0.213 eV per atom.

The space group is P4/mbm (No. 127) and the conventional cell measures 5.0900, 5.0900 and 4.1716 Å, with angles of 90.00, 90.00 and 90.00 degrees. The distinct sites, in fractional coordinates, are Li at (0.1734, 0.3266, 0.0000), Ni at (0.1591, 0.6591, 0.5000) and B at (0.0000, 0.0000, 0.5000).

| no. | spin magnetization (μB per cell) | total DFT energy (no corrections) (eV for the cell shown) |
| --- | --- | --- |
| 1 | 0.00 | -505.2 |
| 2 | 0.00 | -91.2 |